Computed, not measured: Pu3SiPt2 after structural relaxation at the PBE level of DFT.

a = 11.5710 Å, b = 4.1097 Å, c = 11.4249 Å
α = 90.00°, β = 90.00°, γ = 90.00°
Space group Pnma (No. 62)
Unique sites:
Pu (0.0552, 0.2500, 0.1160)
Pu (0.1284, 0.7500, 0.5604)
Pu (0.2106, 0.2500, 0.7940)
Si (0.1227, 0.2500, 0.3659)
Pt (0.0164, 0.7500, 0.3093)
Pt (0.1897, 0.7500, 0.9840)

Calculated values
For the formation energy without anion corrections, the calculation gives -0.596 eV/atom. The value obtained for the total magnetic moment is 21.56 Bohr magnetons per cell.